The following is a DFT calculation (PBE-GGA) of a relaxed TlAsPBr2 crystal.

a = 5.475 Å, b = 5.475 Å, c = 4.791 Å
α = 90.00°, β = 90.00°, γ = 90.00°
Element x y z (fractional)
Tl1 0.000 0.000 0.000
As1 0.500 0.500 0.000
P1 0.500 0.500 0.500
Br1 0.000 0.500 0.500
Br2 0.500 0.000 0.500

Computed properties:
electronic total energy	-3.085	eV per atom
polymorph energy (0 for the lowest one)	0	meV per atom
E_form (uncorrected)	0.0690	eV/atom